BeFe3B | Alexandria | PBE | optimized geometry; energy above the most stable polymorph in this dataset = 0 meV per atom; N(E_F) = 3.82 states/eV/f.u.
1.0
-1.509 0.735 3.787
-4.874 0.192 -1.979
1.981 -4.580 1.678
Fe Be B
6 2 2
Direct
0.750 0.629 0.814
0.250 0.814 0.629
0.250 0.814 0.186
0.250 0.371 0.186
0.750 0.186 0.371
0.750 0.186 0.814
0.250 0.333 0.667
0.750 0.667 0.333
0.500 0.000 0.000
0.000 0.000 0.000